A PBEsol-optimized structure of Bi5O7F. Source: Alexandria, functional meta-GGA SCAN.

Properties
- DOS at the Fermi energy (states/eV per cell) = 0.00
- energy relative to the elements, uncorrected (kJ/mol of formula units) = -1550

abc: 5.135 15.730 23.400
angles: 90.00 90.00 90.00
Space group Ibca (No. 73)
Symmetry-distinct sites (fractional):
Bi 0.000 0.250 0.196
Bi 0.004 0.081 0.308
Bi 0.018 0.082 0.563
O 0.024 0.075 0.652
O 0.073 0.050 0.446
O 0.246 0.000 0.250
O 0.248 0.167 0.250
F 0.000 0.250 0.347